1.
A plane-wave DFT calculation with GGA-PBE was carried out for a geometry-optimized AcBiO2 structure.

The calculation puts the uncorrected formation energy at -1.49 eV per atom. The symmetry is P4/mmm, No. 123. The calculation puts the energy relative to the lowest polymorph listed for this composition at 735 meV per atom.

a b c (Å): 3.2585 3.2585 7.4311
angles (deg): 90.00 90.00 90.00
Atoms (fractional coordinates):
Bi: 0.5000 0.5000 0.0000
O: 0.0000 0.0000 0.6753
Ac: 0.5000 0.5000 0.5000
O: 0.0000 0.0000 0.3247

2.
A plane-wave DFT calculation with GGA-PBE was carried out for a geometry-optimized SO structure.

The calculation puts the uncorrected formation energy at -0.47 eV per atom. The symmetry is P-1, No. 2. The calculation puts the energy relative to the lowest polymorph listed for this composition at 94 meV per atom.

a b c (Å): 3.9324 4.5361 5.4851
angles (deg): 102.77 91.89 112.05
Atoms (fractional coordinates):
S: 0.6018 0.9645 0.1610
O: 0.7001 0.2884 0.7499
S: 0.3982 0.0355 0.8390
O: 0.2999 0.7116 0.2501

3.
A plane-wave DFT calculation with GGA-PBE was carried out for a geometry-optimized Li3UPd12 structure.

The symmetry is P4/mmm, No. 123. The value obtained for the energy of formation is -0.3428 eV per atom.

a b c (Å): 4.0360 4.0360 15.3293
angles (deg): 90.00 90.00 90.00
Atoms (fractional coordinates):
Pd: 0.0000 0.5000 0.3802
Pd: 0.0000 0.5000 0.6198
Pd: 0.5000 0.5000 0.5000
Pd: 0.5000 0.5000 0.0000
Pd: 0.0000 0.5000 0.1312
Pd: 0.5000 0.0000 0.6198
Pd: 0.5000 0.0000 0.8688
Li: 0.0000 0.0000 0.7388
Li: 0.0000 0.0000 0.2612
Li: 0.0000 0.0000 0.5000
Pd: 0.5000 0.0000 0.3802
Pd: 0.5000 0.0000 0.1312
Pd: 0.5000 0.5000 0.7417
Pd: 0.0000 0.5000 0.8688
U: 0.0000 0.0000 0.0000
Pd: 0.5000 0.5000 0.2583

4.
A plane-wave DFT calculation with GGA-PBE was carried out for a geometry-optimized YEr2ZnC structure.

The symmetry is P4/mmm, No. 123. The value obtained for the energy of formation is -0.2608 eV per atom.

a b c (Å): 4.8219 4.8218 4.9083
angles (deg): 90.00 90.00 90.00
Atoms (fractional coordinates):
Er: 0.5000 0.0000 0.9999
Zn: 0.5000 0.5000 0.5003
Er: 0.0000 0.5000 0.9999
Y: 0.0000 0.0000 0.4999
C: 0.0000 0.0000 0.0000

5.
A plane-wave DFT calculation with GGA-PBE was carried out for a geometry-optimized KNb2H structure.

The symmetry is Fd-3m, No. 227. The calculation puts the energy relative to the lowest polymorph listed for this composition at 0 meV per atom.

a b c (Å): 6.1479 6.1479 6.1461
angles (deg): 59.99 59.99 90.00
Atoms (fractional coordinates):
K: 0.7500 0.2500 0.5000
Nb: 0.3750 0.1250 0.2500
H: 0.5000 0.5000 0.0000
Nb: 0.3750 0.6250 0.2500
K: 0.0000 0.0000 0.0000
Nb: 0.8750 0.6250 0.7500
H: 0.2500 0.7500 0.5000
Nb: 0.3750 0.6250 0.7500

6.
A plane-wave DFT calculation with GGA-PBE was carried out for a geometry-optimized CeMg2GaAu4 structure.

The symmetry is R-3m, No. 166. The value obtained for the energy of formation is -0.5213 eV per atom.

a b c (Å): 4.5877 4.5877 9.3308
angles (deg): 75.77 75.77 60.00
Atoms (fractional coordinates):
Au: 0.6056 0.6056 0.1832
Ga: 0.5000 0.5000 0.5000
Au: 0.1275 0.1275 0.6175
Mg: 0.7612 0.7612 0.7164
Au: 0.3944 0.3944 0.8168
Mg: 0.2388 0.2388 0.2836
Au: 0.8725 0.8725 0.3825
Ce: 0.0000 0.0000 0.0000